Entry 1:
DFT (PBE) results for a relaxed Ho7Sn2Bi2 crystal.

* E_form: -0.2292 eV per atom
* VASP energy: -4.58 eV per atom
* mass density: 8.60 g/cm³

Geometry as POSCAR:
```
Ho7Sn2Bi2
1.0
-1.671 -2.798 -6.095
-5.767 -3.646 3.254
-3.586 5.903 0.258
Ho Sn Bi
7 2 2
Cartesian
-8.533 1.903 -0.472
-4.204 0.559 -2.029
-5.904 0.350 2.448
-2.491 -2.443 -2.112
-6.820 -1.099 -0.555
-5.120 -0.890 -5.031
0.000 0.000 0.000
-3.824 -1.268 0.583
-7.200 0.727 -3.167
-7.983 -3.967 -1.033
-3.041 3.427 -1.550
```

***

Entry 2:
DFT (PBE) results for a relaxed Zr6Al16Rh7 crystal.

* E_form: -0.8335 eV per atom
* VASP energy: -6.44 eV per atom
* mass density: 6.00 g/cm³

Geometry as POSCAR:
```
Zr6Al16Rh7
1.0
8.730 0.000 0.000
4.365 7.560 0.000
4.365 2.520 7.128
Al Rh Zr
16 7 6
Cartesian
5.885 6.682 4.725
15.366 8.872 6.273
4.365 5.144 0.854
11.574 6.682 4.725
13.094 7.560 2.563
5.885 3.398 2.403
8.730 8.324 2.403
8.730 5.040 7.047
4.365 2.520 4.565
13.094 4.936 6.273
8.730 5.040 0.080
10.822 8.872 6.273
11.574 3.398 2.403
8.730 1.756 4.725
6.637 1.208 0.854
2.093 1.208 0.854
2.182 3.780 0.000
6.547 1.260 3.564
4.365 5.040 3.564
4.365 0.000 0.000
6.547 3.780 0.000
0.000 0.000 0.000
2.182 1.260 3.564
8.730 3.126 2.211
7.072 5.997 2.211
10.387 5.997 2.211
8.730 6.954 4.917
10.387 4.083 4.917
7.072 4.083 4.917
```

***

Entry 3:
DFT (PBE) results for a relaxed La2TbCd6 crystal.

* E_form: -0.3516 eV per atom
* VASP energy: -2.57 eV per atom
* mass density: 7.84 g/cm³

Geometry as POSCAR:
```
La2TbCd6
1.0
-2.230 2.009 1.753
-3.707 -7.204 3.542
6.773 3.951 4.087
Cd Tb La
6 1 2
Cartesian
3.432 3.657 3.620
-0.107 -0.065 3.384
-3.603 -3.832 3.254
0.943 -1.179 5.998
-2.333 -1.363 2.040
1.111 2.303 2.220
6.773 3.951 4.087
3.279 0.233 3.905
-2.443 -1.477 5.476
```

***

Entry 4:
DFT (PBE) results for a relaxed Na2YZn2 crystal.

* E_form: 0.1089 eV per atom
* VASP energy: -2.22 eV per atom
* mass density: 3.37 g/cm³

Geometry as POSCAR:
```
Na2YZn2
1.0
7.486 0.000 0.000
0.000 7.486 0.000
0.000 0.000 4.674
Zn Na Y
4 4 2
Cartesian
0.904 2.839 0.000
2.839 6.582 0.000
4.647 0.904 0.000
6.582 4.647 0.000
6.206 2.463 2.337
5.023 6.206 2.337
2.463 1.280 2.337
1.280 5.023 2.337
3.743 3.743 0.000
0.000 0.000 0.000
```

***

Entry 5:
DFT (PBE) results for a relaxed Ho2HfFe9 crystal.

* E_form: -0.0924 eV per atom
* VASP energy: -8.03 eV per atom
* mass density: 9.63 g/cm³

Geometry as POSCAR:
```
Ho2HfFe9
1.0
4.990 0.000 0.000
-2.495 4.321 0.000
0.000 0.000 16.174
Fe Hf Ho
18 2 4
Cartesian
1.246 3.600 5.997
1.249 0.721 14.084
1.249 0.721 10.176
2.495 1.440 12.130
0.000 1.442 2.089
0.000 1.442 5.997
-1.246 3.600 5.997
0.000 2.881 4.043
2.495 2.879 14.084
0.000 0.000 4.043
3.741 0.721 10.176
0.000 0.000 12.130
1.246 3.600 2.089
2.495 2.879 10.176
3.741 0.721 14.084
0.000 0.000 0.000
-1.246 3.600 2.089
0.000 0.000 8.087
2.495 1.440 4.043
0.000 2.881 12.130
2.495 1.440 7.466
0.000 2.881 8.708
2.495 1.440 0.621
0.000 2.881 15.552
```

***

Entry 6:
DFT (PBE) results for a relaxed TcMo2P crystal.

* E_form: -0.0778 eV per atom
* VASP energy: -9.44 eV per atom
* mass density: 9.13 g/cm³

Geometry as POSCAR:
```
TcMo2P
1.0
-2.117 1.596 1.174
-2.401 -3.281 0.131
1.705 -1.066 4.523
Mo Tc P
2 1 1
Cartesian
0.413 -0.258 1.096
1.292 -0.808 3.427
-1.406 -1.376 2.914
-2.259 -0.843 0.653
```

***

Entry 7:
DFT (PBE) results for a relaxed K2AgH crystal.

* VASP energy: -2.09 eV per atom
* mass density: 2.53 g/cm³

Geometry as POSCAR:
```
K2AgH
1.0
-3.095 2.886 -0.183
-2.722 0.393 3.221
2.834 6.427 4.396
K H Ag
2 1 1
Cartesian
1.863 5.342 3.708
-0.974 2.172 1.697
-3.876 2.189 2.027
-1.488 4.857 3.720
```

***

Entry 8:
DFT (PBE) results for a relaxed SmAl6Zn12 crystal.

* E_form: 0.0418 eV per atom
* VASP energy: -2.19 eV per atom
* mass density: 5.39 g/cm³

Geometry as POSCAR:
```
SmAl6Zn12
1.0
7.193 0.083 0.116
-1.703 6.989 0.116
-1.703 -2.194 6.637
Zn Al Sm
12 6 1
Cartesian
1.810 2.332 0.927
5.392 -0.277 3.435
-1.605 1.544 5.999
5.392 3.334 0.871
4.132 3.098 4.363
-1.605 5.155 3.435
1.977 4.771 4.363
-0.345 1.780 2.507
1.810 0.107 2.507
1.977 2.546 5.943
1.894 -1.172 5.999
1.894 6.050 0.871
3.337 0.544 4.743
-0.300 3.368 4.743
4.087 1.510 2.127
0.450 0.580 4.793
0.450 4.334 2.127
3.337 4.298 2.077
0.000 0.000 0.000
```

***

Q: Among the records above, which one has the highest VASP energy?
A: K2AgH